(1)
The following is a meta-GGA SCAN calculation of a crystal of Tb2MgS4 relaxed with PBEsol, from Alexandria via LeMat-Bulk.

abc: 3.8207 12.5143 13.2072
angles: 90.00 90.00 90.00
Closest atoms and distances in Å follow each position.
Atoms (fractional coordinates):
Tb1 0.7500 0.3824 0.4231  6 S 2.68-2.78
Tb2 0.2500 0.6176 0.5769  6 S 2.68-2.78
Tb3 0.2500 0.1176 0.9231  6 S 2.68-2.78
Tb4 0.7500 0.8824 0.0769  6 S 2.68-2.78
Tb5 0.7500 0.3623 0.7944  6 S 2.64-2.81
Tb6 0.2500 0.6377 0.2056  6 S 2.64-2.81
Tb7 0.2500 0.1377 0.2944  6 S 2.64-2.81
Tb8 0.7500 0.8623 0.7056  6 S 2.64-2.81
Mg1 0.2500 0.3869 0.0494  5 S 2.55-2.62
Mg2 0.7500 0.6131 0.9506  5 S 2.55-2.62
Mg3 0.7500 0.1131 0.5494  5 S 2.55-2.62
Mg4 0.2500 0.8869 0.4506  5 S 2.55-2.62
S1 0.2500 0.4916 0.8838  3 Mg 2.55-2.60, 2 Tb 2.77
S2 0.7500 0.5084 0.1162  3 Mg 2.55-2.60, 2 Tb 2.77
S3 0.7500 0.0084 0.3838  3 Mg 2.55-2.60, 2 Tb 2.77
S4 0.2500 0.9916 0.6162  3 Mg 2.55-2.60, 2 Tb 2.77
S5 0.7500 0.4718 0.6160  4 Tb 2.69-2.78
S6 0.2500 0.5282 0.3840  4 Tb 2.69-2.78
S7 0.2500 0.0282 0.1160  4 Tb 2.69-2.78
S8 0.7500 0.9718 0.8840  4 Tb 2.69-2.78
S9 0.7500 0.2745 0.2478  3 Tb 2.64-2.68
S10 0.2500 0.7255 0.7522  3 Tb 2.64-2.68
S11 0.2500 0.2255 0.7478  3 Tb 2.64-2.68
S12 0.7500 0.7745 0.2522  3 Tb 2.64-2.68
S13 0.2500 0.2386 0.4842  2 Mg 2.62, 3 Tb 2.75-2.81
S14 0.7500 0.7614 0.5158  2 Mg 2.62, 3 Tb 2.75-2.81
S15 0.7500 0.2614 0.9842  2 Mg 2.62, 3 Tb 2.75-2.81
S16 0.2500 0.7386 0.0158  2 Mg 2.62, 3 Tb 2.75-2.81

Excess energy over the best structure of this formula in the dataset ... 61 meV per atom
Space-group type ... No. 62
Size of the total moment ... 0.00 μB/f.u.
Formation energy from raw total energies ... -2087 meV per atom

=====

(2)
The following is a meta-GGA SCAN calculation of a crystal of Tb2MgS4 relaxed with PBEsol, from Alexandria via LeMat-Bulk.

abc: 7.0759 7.0759 7.0759
angles: 107.25 110.59 110.59
Closest atoms and distances in Å follow each position.
Atoms (fractional coordinates):
Tb1 0.6219 0.3750 0.4969  8 S 2.69-3.01
Tb2 0.1219 0.2469 0.6250  8 S 2.69-3.01
Tb3 0.3781 0.8750 0.7531  8 S 2.69-3.01
Tb4 0.8781 0.5031 0.1250  8 S 2.69-3.01
Mg1 0.0000 0.0000 0.0000  4 S 2.60
Mg2 0.5000 0.7500 0.2500  4 S 2.60
S1 0.7389 0.1159 0.2369  1 Mg 2.60, 2 Tb 2.69-2.75
S2 0.1210 0.6231 0.8841  1 Mg 2.60, 2 Tb 2.69-2.75
S3 0.2611 0.4979 0.3769  1 Mg 2.60, 2 Tb 2.69-2.75
S4 0.8790 0.7631 0.5021  1 Mg 2.60, 2 Tb 2.69-2.75
S5 0.6210 0.6341 0.8731  1 Mg 2.60, 2 Tb 2.69-2.75
S6 0.7611 0.1269 0.7479  1 Mg 2.60, 2 Tb 2.69-2.75
S7 0.3790 0.2521 0.0131  1 Mg 2.60, 2 Tb 2.69-2.75
S8 0.2389 0.9869 0.3659  1 Mg 2.60, 2 Tb 2.69-2.75

Excess energy over the best structure of this formula in the dataset ... 71 meV per atom
Space-group type ... No. 122
Size of the total moment ... 0.00 μB/f.u.
Formation energy from raw total energies ... -2076 meV per atom

=====

(3)
The following is a meta-GGA SCAN calculation of a crystal of MgTc3S relaxed with PBEsol, from Alexandria via LeMat-Bulk.

abc: 4.3178 4.3178 4.3178
angles: 90.00 90.00 90.00
Closest atoms and distances in Å follow each position.
Atoms (fractional coordinates):
Mg1 0.5000 0.5000 0.5000  12 Tc 3.05
S1 0.0000 0.0000 0.0000  6 Tc 2.16
Tc1 0.0000 0.5000 0.0000  2 S 2.16
Tc2 0.0000 0.0000 0.5000  2 S 2.16
Tc3 0.5000 0.0000 0.0000  2 S 2.16

Space-group type ... No. 221
Size of the total moment ... 2.08 μB/f.u.
Formation energy from raw total energies ... 261 meV per atom

=====

(4)
The following is a meta-GGA SCAN calculation of a crystal of MgTi8S16 relaxed with PBEsol, from Alexandria via LeMat-Bulk.

abc: 6.8884 9.7218 13.7251
angles: 90.00 90.00 90.00
Closest atoms and distances in Å follow each position.
Atoms (fractional coordinates):
Mg1 0.5000 0.5000 0.5000  6 S 2.47-2.48
Mg2 0.0000 0.0000 0.0000  6 S 2.47-2.48
Ti1 0.7426 0.2552 0.8720  6 S 2.37-2.48
Ti2 0.5000 0.9970 0.7430  6 S 2.37-2.46
Ti3 0.2426 0.7552 0.6280  6 S 2.37-2.48
Ti4 0.2574 0.2552 0.8720  6 S 2.37-2.48
Ti5 0.0000 0.4970 0.7570  6 S 2.37-2.46
Ti6 0.0000 0.5000 0.5000  6 S 2.42-2.43
Ti7 0.7574 0.2448 0.3720  6 S 2.37-2.48
Ti8 0.7574 0.7552 0.6280  6 S 2.37-2.48
Ti9 0.7426 0.7448 0.1280  6 S 2.37-2.48
Ti10 0.5000 0.0000 0.5000  6 S 2.39-2.41
Ti11 0.5000 0.0030 0.2570  6 S 2.37-2.46
Ti12 0.2574 0.7448 0.1280  6 S 2.37-2.48
Ti13 0.2426 0.2448 0.3720  6 S 2.37-2.48
Ti14 0.0000 0.5030 0.2430  6 S 2.37-2.46
Ti15 0.0000 0.5000 0.0000  6 S 2.39-2.41
Ti16 0.5000 0.0000 0.0000  6 S 2.42-2.43
S1 0.0000 0.2530 0.7515  3 Ti 2.37-2.42
S2 0.7448 0.0024 0.8721  3 Ti 2.43-2.46, 1 Mg 2.48
S3 0.7490 0.0012 0.6238  3 Ti 2.37-2.41
S4 0.5000 0.2499 0.7491  3 Ti 2.37-2.46
S5 0.5000 0.7530 0.7485  3 Ti 2.37-2.42
S6 0.5000 0.7543 0.5020  3 Ti 2.39-2.48, 1 Mg 2.47
S7 0.2510 0.0012 0.6238  3 Ti 2.37-2.41
S8 0.2552 0.0024 0.8721  3 Ti 2.43-2.46, 1 Mg 2.48
S9 0.2448 0.5024 0.6279  3 Ti 2.43-2.46, 1 Mg 2.48
S10 0.2448 0.4976 0.3721  3 Ti 2.43-2.46, 1 Mg 2.48
S11 0.0000 0.7490 0.5019  3 Ti 2.41-2.42
S12 0.0000 0.7499 0.7509  3 Ti 2.37-2.46
S13 0.0000 0.2501 0.2491  3 Ti 2.37-2.46
S14 0.0000 0.2510 0.4981  3 Ti 2.41-2.42
S15 0.7552 0.4976 0.3721  3 Ti 2.43-2.46, 1 Mg 2.48
S16 0.7552 0.5024 0.6279  3 Ti 2.43-2.46, 1 Mg 2.48
S17 0.7490 0.9988 0.3762  3 Ti 2.37-2.41
S18 0.7448 0.9976 0.1279  3 Ti 2.43-2.46, 1 Mg 2.48
S19 0.5000 0.2457 0.4980  3 Ti 2.39-2.48, 1 Mg 2.47
S20 0.5000 0.2470 0.2515  3 Ti 2.37-2.42
S21 0.5000 0.7501 0.2509  3 Ti 2.37-2.46
S22 0.5000 0.7510 0.0019  3 Ti 2.41-2.42
S23 0.2552 0.9976 0.1279  3 Ti 2.43-2.46, 1 Mg 2.48
S24 0.2510 0.9988 0.3762  3 Ti 2.37-2.41
S25 0.2490 0.4988 0.1238  3 Ti 2.37-2.41
S26 0.2490 0.5012 0.8762  3 Ti 2.37-2.41
S27 0.0000 0.7470 0.2485  3 Ti 2.37-2.42
S28 0.0000 0.7457 0.0020  3 Ti 2.39-2.48, 1 Mg 2.47
S29 0.0000 0.2543 0.9980  3 Ti 2.39-2.48, 1 Mg 2.47
S30 0.7510 0.4988 0.1238  3 Ti 2.37-2.41
S31 0.7510 0.5012 0.8762  3 Ti 2.37-2.41
S32 0.5000 0.2490 0.9981  3 Ti 2.41-2.42

Space-group type ... No. 58
Size of the total moment ... 0.00 μB/f.u.
Formation energy from raw total energies ... -1503 meV per atom

=====

(5)
The following is a meta-GGA SCAN calculation of a crystal of MgTi2S relaxed with PBEsol, from Alexandria via LeMat-Bulk.

abc: 3.9161 3.9161 9.5944
angles: 101.78 101.78 90.00
Closest atoms and distances in Å follow each position.
Atoms (fractional coordinates):
S1 0.2500 0.7500 0.5000  4 Ti 2.55, 4 Mg 2.77
S2 0.0000 0.0000 0.0000  4 Ti 2.55, 4 Mg 2.77
Mg1 0.7500 0.2500 0.5000  4 S 2.77, 4 Ti 2.88
Mg2 0.5000 0.5000 0.0000  4 S 2.77, 4 Ti 2.88
Ti1 0.2577 0.8750 0.2500  2 Ti 2.22
Ti2 0.9923 0.3750 0.2500  2 Ti 2.22
Ti3 0.1250 0.0077 0.7500  2 Ti 2.22
Ti4 0.6250 0.7423 0.7500  2 Ti 2.22

Space-group type ... No. 122
Size of the total moment ... 0.00 μB/f.u.
Formation energy from raw total energies ... 47 meV per atom

=====

(6)
The following is a meta-GGA SCAN calculation of a crystal of Y3Mg2TiS8 relaxed with PBEsol, from Alexandria via LeMat-Bulk.

abc: 7.6070 7.6070 7.6070
angles: 61.07 61.07 61.07
Closest atoms and distances in Å follow each position.
Atoms (fractional coordinates):
Y1 0.5000 0.0000 0.5000  6 S 2.67-2.71
Y2 0.0000 0.5000 0.5000  6 S 2.67-2.71
Y3 0.5000 0.5000 0.0000  6 S 2.67-2.71
Mg1 0.8762 0.8762 0.8762  4 S 2.41-2.48
Mg2 0.1238 0.1238 0.1238  4 S 2.41-2.48
Ti1 0.5000 0.5000 0.5000  6 S 2.52
S1 0.7322 0.2693 0.7322  1 Mg 2.48, 1 Ti 2.52, 2 Y 2.71
S2 0.7307 0.2678 0.2678  1 Mg 2.48, 1 Ti 2.52, 2 Y 2.71
S3 0.2544 0.2544 0.2544  1 Mg 2.41, 3 Y 2.67
S4 0.2678 0.2678 0.7307  1 Mg 2.48, 1 Ti 2.52, 2 Y 2.71
S5 0.7456 0.7456 0.7456  1 Mg 2.41, 3 Y 2.67
S6 0.7322 0.7322 0.2693  1 Mg 2.48, 1 Ti 2.52, 2 Y 2.71
S7 0.2678 0.7307 0.2678  1 Mg 2.48, 1 Ti 2.52, 2 Y 2.71
S8 0.2693 0.7322 0.7322  1 Mg 2.48, 1 Ti 2.52, 2 Y 2.71

Space-group type ... No. 166
Size of the total moment ... 1.00 μB/f.u.
Formation energy from raw total energies ... -2011 meV per atom

=====

(7)
The following is a meta-GGA SCAN calculation of a crystal of MgTlS3 relaxed with PBEsol, from Alexandria via LeMat-Bulk.

abc: 4.8708 4.8708 4.8708
angles: 90.00 90.00 90.00
Closest atoms and distances in Å follow each position.
Atoms (fractional coordinates):
Mg1 0.0000 0.0000 0.0000  6 S 2.44
Tl1 0.5000 0.5000 0.5000  12 S 3.44
S1 0.0000 0.5000 0.0000  2 Mg 2.44
S2 0.0000 0.0000 0.5000  2 Mg 2.44
S3 0.5000 0.0000 0.0000  2 Mg 2.44

Space-group type ... No. 221
Size of the total moment ... 3.01 μB/f.u.
Formation energy from raw total energies ... -130 meV per atom

=====

(8)
The following is a meta-GGA SCAN calculation of a crystal of Mg3TlS relaxed with PBEsol, from Alexandria via LeMat-Bulk.

abc: 5.1982 5.1982 5.1982
angles: 90.00 90.00 90.00
Closest atoms and distances in Å follow each position.
Atoms (fractional coordinates):
Mg1 0.0000 0.5000 0.0000  2 Tl 2.60
Mg2 0.0000 0.0000 0.5000  2 Tl 2.60
Mg3 0.5000 0.0000 0.0000  2 Tl 2.60
Tl1 0.0000 0.0000 0.0000  6 Mg 2.60
S1 0.5000 0.5000 0.5000  12 Mg 3.68

Space-group type ... No. 221
Size of the total moment ... 0.01 μB/f.u.
Formation energy from raw total energies ... 162 meV per atom

=====

Per-record calculated volume, A^3/atom: 22.55 19.46 16.10 18.38 17.61 22.77 23.11 28.09
Per-record Fermi-level density of states, states/eV/f.u.: 0.00 0.00 1.88 8.22 2.50 1.24 2.82 5.69